(1)
Here is a relaxed LiMgCuSe2 crystal from Alexandria via LeMat-Bulk. Energies are from PBE.

abc: 4.720 4.434 4.720
angles: 90.00 90.00 90.00
Element x y z (fractional)
1 Mg 0.000 0.500 0.000
2 Cu 0.500 0.500 0.500
3 Se 0.000 0.000 0.500
4 Se 0.500 0.000 0.000
5 Li 0.000 0.000 0.000

Formation energy from raw total energies ... 247 meV per atom
DOS(E_F) ... 1.6 states/eV/cell
SG ... P4/mmm
Total energy ... -2.6678 eV/atom
Theoretical density ... 4.248 Mg/m³

***

(2)
Here is a relaxed LaMg2Cr crystal from Alexandria via LeMat-Bulk. Energies are from PBE.

abc: 4.423 4.415 5.179
angles: 90.00 90.00 90.00
Last column: magnetic moment on the atom in μB.
Element x y z (fractional)
1 Cr 0.500 0.000 0.500  3.62
2 La 0.000 0.500 0.500  -0.02
3 Mg 0.000 0.000 0.000  -0.02
4 Mg 0.500 0.500 0.000  -0.02

DOS(E_F) ... 3.0 states/eV/cell
ΔE_f ... 276 meV per atom
SG ... P4/mmm
Total energy ... -4.1592 eV/atom
Theoretical density ... 3.933 Mg/m³

***

(3)
Here is a relaxed Tl2IrS crystal from Alexandria via LeMat-Bulk. Energies are from PBE.

abc: 6.288 6.288 7.608
angles: 65.59 65.59 90.00
Element x y z (fractional)
1 Tl 0.638 0.125 0.250
2 Tl 0.112 0.625 0.250
3 Tl 0.375 0.362 0.750
4 Tl 0.875 0.888 0.750
5 Ir 0.000 0.000 0.000
6 Ir 0.750 0.250 0.500
7 S 0.500 0.500 0.000
8 S 0.250 0.750 0.500

Formation energy from raw total energies ... 563 meV per atom
DOS(E_F) ... 11.2 states/eV/cell
SG ... I-42d
Total energy ... -3.8668 eV/atom
Energy relative to the lowest polymorph listed for this composition ... 0.0 meV/atom
Theoretical density ... 8.612 Mg/m³

***

(4)
Here is a relaxed Na2AgBr crystal from Alexandria via LeMat-Bulk. Energies are from PBE.

abc: 3.654 3.654 7.402
angles: 90.00 90.00 90.00
Element x y z (fractional)
1 Na 0.000 0.000 0.758
2 Na 0.000 0.000 0.242
3 Br 0.500 0.500 0.000
4 Ag 0.500 0.500 0.500

Formation energy from raw total energies ... -637 meV per atom
DOS(E_F) ... 0.6 states/eV/cell
SG ... P4/mmm
Total energy ... -2.4280 eV/atom
Energy relative to the lowest polymorph listed for this composition ... 2.0 meV/atom
Theoretical density ... 3.928 Mg/m³

***

(5)
Here is a relaxed RbInGa2Pd crystal from Alexandria via LeMat-Bulk. Energies are from PBE.

abc: 5.051 5.051 5.342
angles: 90.00 90.00 90.00
Element x y z (fractional)
1 Ga 0.000 0.500 0.000
2 Ga 0.500 0.000 0.000
3 Rb 0.500 0.500 0.500
4 Pd 0.000 0.000 0.000
5 In 0.000 0.000 0.500

DOS(E_F) ... 3.1 states/eV/cell
ΔE_f ... -115 meV per atom
SG ... P4/mmm
Total energy ... -3.1057 eV/atom
Theoretical density ... 5.436 Mg/m³

***

(6)
Here is a relaxed K2GeF crystal from Alexandria via LeMat-Bulk. Energies are from PBE.

abc: 7.596 7.596 7.014
angles: 57.21 57.21 90.00
Element x y z (fractional)
1 Ge 0.000 0.000 0.000
2 Ge 0.750 0.250 0.500
3 K 0.523 0.125 0.250
4 K 0.227 0.625 0.250
5 K 0.375 0.477 0.750
6 K 0.875 0.773 0.750
7 F 0.500 0.500 0.000
8 F 0.250 0.750 0.500

Formation energy from raw total energies ... -954 meV per atom
DOS(E_F) ... 1.7 states/eV/cell
SG ... I-42d
Total energy ... -3.1246 eV/atom
Energy relative to the lowest polymorph listed for this composition ... 0.0 meV/atom
Theoretical density ... 2.167 Mg/m³

***

Among the records above, which one has the highest total energy? Na2AgBr

***

Which formula does entry 6 have? K2GeF

***

What did the third record say?
Here is a relaxed Tl2IrS crystal from Alexandria via LeMat-Bulk. Energies are from PBE.

abc: 6.288 6.288 7.608
angles: 65.59 65.59 90.00
Element x y z (fractional)
1 Tl 0.638 0.125 0.250
2 Tl 0.112 0.625 0.250
3 Tl 0.375 0.362 0.750
4 Tl 0.875 0.888 0.750
5 Ir 0.000 0.000 0.000
6 Ir 0.750 0.250 0.500
7 S 0.500 0.500 0.000
8 S 0.250 0.750 0.500

Formation energy from raw total energies ... 563 meV per atom
DOS(E_F) ... 11.2 states/eV/cell
SG ... I-42d
Total energy ... -3.8668 eV/atom
Energy relative to the lowest polymorph listed for this composition ... 0.0 meV/atom
Theoretical density ... 8.612 Mg/m³

***

Among the records above, which one has the highest total energy? Na2AgBr